1.
The following is a DFT calculation (GGA-PBE) of a geometry-optimized Y3WC structure.

abc: 4.852 4.852 4.852
angles: 90.00 90.00 90.00
Space group Pm-3m (No. 221)
Asymmetric unit:
Y: 0.000 0.000 0.500 (multiplicity 3)
W: 0.500 0.500 0.500 (multiplicity 1)
C: 0.000 0.000 0.000 (multiplicity 1)

Results
total DFT energy (no corrections) = -7.879 eV/atom
formation enthalpy at 0 K = 435 meV per atom
energy above the lowest structure with this stoichiometry = 0.00 kcal/mol of atoms

2.
The following is a DFT calculation (GGA-PBE) of a geometry-optimized AlRh2Br structure.

abc: 9.695 3.117 4.307
angles: 90.00 101.38 90.00
Space group Cm (No. 8)
Asymmetric unit:
Al: 0.000 0.000 0.000 (multiplicity 2)
Rh: 0.017 0.500 0.525 (multiplicity 2)
Rh: 0.281 0.000 0.884 (multiplicity 2)
Br: 0.253 0.500 0.385 (multiplicity 2)

Results
total DFT energy (no corrections) = -5.021 eV/atom
formation energy from raw total energies = 8.6 meV per atom
energy above the lowest structure with this stoichiometry = 7.50 kcal/mol of atoms